A plane-wave DFT calculation with GGA+U was carried out for an optimized crystal structure of K3Ta2VO8.

Cell: 5.929 5.929 7.619 Å, 90.00 90.00 120.00°
Each line ends with the local moment (μB).
Fractional positions:
O1 0.838 0.162 0.661  -0.01
Ta1 0.333 0.667 0.249  0.01
O2 0.162 0.838 0.339  -0.01
Ta2 0.667 0.333 0.751  0.01
O3 0.676 0.838 0.339  -0.01
K1 0.667 0.333 0.321  0.00
O4 0.333 0.667 0.010  0.00
K2 0.000 0.000 0.000  0.00
O5 0.838 0.676 0.661  -0.01
V1 0.000 0.000 0.500  1.88
O6 0.162 0.324 0.339  -0.01
O7 0.667 0.333 0.990  0.00
K3 0.333 0.667 0.679  0.00
O8 0.324 0.162 0.661  -0.01

Output
**Uncorrected energy**: -107.434 eV/cell